No. 1
DFT (GGA-PBE) results for an optimized crystal structure of Si2PIrC.

Properties
As for the symmetry: P4/mmm, No. 123. The calculation puts the energy relative to the elements, uncorrected at 0.727 eV/atom.

a = 3.881 Å, b = 3.881 Å, c = 4.061 Å
α = 90.00°, β = 90.00°, γ = 90.00°
Fractional coordinates of all 5 atoms:
Si1 0.000 0.500 0.000
Si2 0.500 0.000 0.000
P1 0.000 0.000 0.500
Ir1 0.500 0.500 0.500
C1 0.000 0.000 0.000

No. 2
DFT (GGA-PBE) results for an optimized crystal structure of KAsRh2.

Properties
As for the symmetry: P4mm, No. 99. Its formation enthalpy at 0 K is 0.091 eV/atom.

a = 3.040 Å, b = 3.040 Å, c = 8.314 Å
α = 90.00°, β = 90.00°, γ = 90.00°
Fractional coordinates of all 4 atoms:
K1 0.000 0.000 0.000
As1 0.500 0.500 0.678
Rh1 0.000 0.000 0.516
Rh2 0.500 0.500 0.307

No. 3
DFT (GGA-PBE) results for an optimized crystal structure of BaZrIn2.

Properties
As for the symmetry: F-43m, No. 216. The calculation puts the polymorph energy (0 for the lowest one) at 576 meV per atom. Its formation enthalpy at 0 K is 0.330 eV/atom.

a = 7.785 Å, b = 7.785 Å, c = 7.785 Å
α = 90.00°, β = 90.00°, γ = 90.00°
Fractional coordinates of all 16 atoms:
Ba1 0.000 0.000 0.000
Ba2 0.000 0.500 0.500
Ba3 0.500 0.000 0.500
Ba4 0.500 0.500 0.000
Zr1 0.250 0.250 0.250
Zr2 0.250 0.750 0.750
Zr3 0.750 0.250 0.750
Zr4 0.750 0.750 0.250
In1 0.000 0.000 0.500
In2 0.000 0.500 0.000
In3 0.250 0.250 0.750
In4 0.250 0.750 0.250
In5 0.500 0.000 0.000
In6 0.500 0.500 0.500
In7 0.750 0.250 0.250
In8 0.750 0.750 0.750

No. 4
DFT (GGA-PBE) results for an optimized crystal structure of TbNd3Ho8.

Properties
As for the symmetry: P1, No. 1. Its formation enthalpy at 0 K is 0.018 eV/atom.

a = 6.297 Å, b = 8.470 Å, c = 8.482 Å
α = 84.31°, β = 68.23°, γ = 68.27°
Fractional coordinates of all 12 atoms:
Tb1 0.000 0.000 0.000
Nd1 0.000 0.500 0.500
Nd2 0.337 0.248 0.750
Nd3 0.337 0.749 0.249
Ho1 0.001 0.582 0.080
Ho2 0.002 0.080 0.583
Ho3 0.335 0.668 0.669
Ho4 0.336 0.166 0.167
Ho5 0.666 0.415 0.918
Ho6 0.666 0.917 0.416
Ho7 0.670 0.833 0.833
Ho8 0.672 0.331 0.331